(1)
A geometry-optimized Nd2Er3Ga2 structure. Source: Alexandria via LeMat-Bulk, functional GGA-PBE.

## Properties
E_form	-0.310	eV/atom
M_tot	0.02	μB per formula unit

a = 6.4095 Å, b = 6.4095 Å, c = 8.5195 Å
α = 112.04°, β = 112.04°, γ = 38.38°
Closest atoms and distances in Å follow each position.
Atoms (fractional coordinates):
Nd 0.1486 0.1486 0.3069  3 Ga 3.12-3.39
Nd 0.8514 0.8514 0.6931  3 Ga 3.12-3.39
Er 0.3766 0.3766 0.0596  3 Ga 3.02-3.04
Er 0.5000 0.5000 0.5000  4 Ga 2.99
Er 0.6234 0.6234 0.9404  3 Ga 3.02-3.04
Ga 0.1675 0.1675 0.7144  5 Er 2.99-3.04, 2 Nd 3.12
Ga 0.8325 0.8325 0.2856  5 Er 2.99-3.04, 2 Nd 3.12

(2)
A geometry-optimized PmHo3Ge2 structure. Source: Alexandria via LeMat-Bulk, functional GGA-PBE.

## Properties
E_form	-0.582	eV/atom
M_tot	0.00	μB per formula unit

a = 8.8639 Å, b = 8.8639 Å, c = 9.2735 Å
α = 112.24°, β = 112.24°, γ = 28.16°
Closest atoms and distances in Å follow each position.
Atoms (fractional coordinates):
Pm 0.1145 0.1145 0.1336  6 Ge 3.06-3.24, 1 Ho 3.40
Pm 0.8855 0.8855 0.8664  6 Ge 3.06-3.24, 1 Ho 3.40
Ho 0.0490 0.0490 0.6946  3 Ge 2.90-3.20, 2 Ho 3.22
Ho 0.3085 0.3085 0.1165  3 Ge 2.97-3.04, 4 Ho 3.16-3.22
Ho 0.3490 0.3490 0.5184  4 Ge 3.00-3.35
Ho 0.6510 0.6510 0.4816  4 Ge 3.00-3.35
Ho 0.6915 0.6915 0.8835  3 Ge 2.97-3.04, 4 Ho 3.16-3.22
Ho 0.9510 0.9510 0.3054  3 Ge 2.90-3.20, 2 Ho 3.22
Ge 0.2387 0.2387 0.7124  6 Ho 2.97-3.20, 2 Pm 3.20
Ge 0.4885 0.4885 0.1328  1 Ge 2.64, 2 Ho 2.90
Ge 0.5115 0.5115 0.8672  1 Ge 2.64, 2 Ho 2.90
Ge 0.7613 0.7613 0.2876  6 Ho 2.97-3.20, 2 Pm 3.20

(3)
A geometry-optimized BaSnI6 structure. Source: Alexandria via LeMat-Bulk, functional GGA-PBE.

## Properties
formation energy from raw total energies	-0.78	eV per atom
E above lowest polymorph	33.3	meV per atom
M_tot	0.00	μB per formula unit

a = 7.7386 Å, b = 7.7539 Å, c = 8.4820 Å
α = 90.09°, β = 117.05°, γ = 119.92°
Closest atoms and distances in Å follow each position.
Atoms (fractional coordinates):
Ba 0.0000 0.0000 0.0000  6 I 3.54
Sn 0.0000 0.5000 0.5000  6 I 2.92
I 0.1788 0.4697 0.2707  1 Sn 2.92
I 0.1988 0.2918 0.7295  1 Sn 2.92
I 0.4372 0.9065 0.7297  1 Sn 2.92
I 0.5628 0.0935 0.2703  1 Sn 2.92
I 0.8012 0.7082 0.2705  1 Sn 2.92
I 0.8212 0.5303 0.7293  1 Sn 2.92

(4)
A geometry-optimized ScTcAu2 structure. Source: Alexandria via LeMat-Bulk, functional GGA-PBE.

## Properties
E_form	-0.076	eV/atom
E above lowest polymorph	160.5	meV per atom
M_tot	1.20	μB per formula unit

a = 4.6661 Å, b = 4.6661 Å, c = 4.6661 Å
α = 60.00°, β = 60.00°, γ = 60.00°
Closest atoms and distances in Å follow each position.
Atoms (fractional coordinates):
Sc 0.0000 0.0000 0.0000  8 Au 2.86
Tc 0.5000 0.5000 0.5000  8 Au 2.86
Au 0.2500 0.2500 0.2500  4 Tc 2.86, 4 Sc 2.86
Au 0.7500 0.7500 0.7500  4 Tc 2.86, 4 Sc 2.86

(5)
A geometry-optimized Mg2AlH8 structure. Source: Alexandria via LeMat-Bulk, functional GGA-PBE.

## Properties
final energy	-32.75	eV per cell
M_tot	0.00	μB per formula unit

a = 5.2713 Å, b = 5.2713 Å, c = 3.7999 Å
α = 107.55°, β = 107.55°, γ = 71.85°
Closest atoms and distances in Å follow each position.
Atoms (fractional coordinates):
Mg 0.1656 0.1656 0.3911  8 H 1.98-2.09
Mg 0.8344 0.8344 0.6089  8 H 1.98-2.09
Al 0.5000 0.5000 0.0000  6 H 1.69-1.74
H 0.0872 0.0872 0.8236  1 H 1.99, 3 Mg 1.99-2.01
H 0.1948 0.5669 0.6652  1 Al 1.74
H 0.3327 0.3327 0.1356  1 Al 1.69
H 0.4331 0.8052 0.3348  1 Al 1.74
H 0.5669 0.1948 0.6652  1 Al 1.74
H 0.6673 0.6673 0.8644  1 Al 1.69
H 0.8052 0.4331 0.3348  1 Al 1.74
H 0.9128 0.9128 0.1764  1 H 1.99, 3 Mg 1.99-2.01

(6)
A geometry-optimized Sc2AlNi structure. Source: Alexandria via LeMat-Bulk, functional GGA-PBE.

## Properties
E_form	-0.405	eV/atom
M_tot	0.00	μB per formula unit

a = 5.6373 Å, b = 5.6373 Å, c = 5.6373 Å
α = 147.47°, β = 131.21°, γ = 59.87°
Closest atoms and distances in Å follow each position.
Atoms (fractional coordinates):
Sc 0.0000 0.0000 0.0000  4 Ni 2.82, 2 Sc 3.07, 2 Al 3.12
Sc 0.7052 0.2052 0.5000  2 Ni 2.69, 4 Al 2.93
Al 0.2881 0.7881 0.5000  2 Ni 2.47
Ni 0.4821 0.4821 0.0000  2 Al 2.47, 2 Sc 2.69

(7)
A geometry-optimized Mg7In2Pd2 structure. Source: Alexandria via LeMat-Bulk, functional GGA-PBE.

## Properties
E_form	-0.309	eV/atom
E above lowest polymorph	0.0	meV per atom
M_tot	0.00	μB per formula unit

a = 7.4674 Å, b = 7.4674 Å, c = 4.5443 Å
α = 107.56°, β = 107.56°, γ = 75.13°
Closest atoms and distances in Å follow each position.
Atoms (fractional coordinates):
Mg 0.0000 0.0000 0.0000  8 Mg 2.87-2.92, 4 Pd 3.09
Mg 0.1266 0.5859 0.8565  2 Pd 2.78-2.79, 2 Mg 2.92-3.00, 2 In 3.09
Mg 0.1603 0.1603 0.6585  2 Pd 2.74, 4 Mg 2.87-3.00
Mg 0.4141 0.8734 0.1435  2 Pd 2.78-2.79, 2 Mg 2.92-3.00, 2 In 3.09
Mg 0.5859 0.1266 0.8565  2 Pd 2.78-2.79, 2 Mg 2.92-3.00, 2 In 3.09
Mg 0.8397 0.8397 0.3415  2 Pd 2.74, 4 Mg 2.87-3.00
Mg 0.8734 0.4141 0.1435  2 Pd 2.78-2.79, 2 Mg 2.92-3.00, 2 In 3.09
In 0.3528 0.3528 0.3532  2 Pd 2.94, 6 Mg 3.09-3.11, 1 In 3.22
In 0.6472 0.6472 0.6468  2 Pd 2.94, 6 Mg 3.09-3.11, 1 In 3.22
Pd 0.2304 0.7696 0.5000  6 Mg 2.74-2.79, 2 In 2.94
Pd 0.7696 0.2304 0.5000  6 Mg 2.74-2.79, 2 In 2.94

(8)
A geometry-optimized CePmNiRh structure. Source: Alexandria via LeMat-Bulk, functional GGA-PBE.

## Properties
E_form	-0.445	eV/atom
E above lowest polymorph	89.8	meV per atom
M_tot	0.71	μB per formula unit

a = 4.9257 Å, b = 4.9257 Å, c = 4.9257 Å
α = 60.00°, β = 60.00°, γ = 60.00°
Closest atoms and distances in Å follow each position.
Atoms (fractional coordinates):
Ce 0.0000 0.0000 0.0000  4 Ni 3.02, 4 Rh 3.02
Pm 0.5000 0.5000 0.5000  4 Ni 3.02, 4 Rh 3.02
Ni 0.7500 0.7500 0.7500  4 Pm 3.02, 4 Ce 3.02
Rh 0.2500 0.2500 0.2500  4 Pm 3.02, 4 Ce 3.02

(9)
A geometry-optimized Hf2NbTl structure. Source: Alexandria via LeMat-Bulk, functional GGA-PBE.

## Properties
E_form	0.590	eV/atom
E above lowest polymorph	609.0	meV per atom
M_tot	0.00	μB per formula unit

a = 10.8415 Å, b = 10.8415 Å, c = 10.8415 Å
α = 157.80°, β = 157.80°, γ = 31.60°
Closest atoms and distances in Å follow each position.
Atoms (fractional coordinates):
Hf 0.1167 0.6250 0.9917  4 Hf 2.90-3.00, 2 Nb 2.98, 2 Tl 3.01
Hf 0.3750 0.3667 0.4917  4 Hf 2.90-3.00, 2 Nb 2.98, 2 Tl 3.01
Hf 0.6333 0.1250 0.0083  4 Hf 2.90-3.00, 2 Nb 2.98, 2 Tl 3.01
Hf 0.8750 0.8833 0.5083  4 Hf 2.90-3.00, 2 Nb 2.98, 2 Tl 3.01
Nb 0.0000 0.0000 0.0000  4 Tl 2.95, 4 Hf 2.98
Nb 0.7500 0.2500 0.5000  4 Tl 2.95, 4 Hf 2.98
Tl 0.2500 0.7500 0.5000  4 Nb 2.95, 4 Hf 3.01
Tl 0.5000 0.5000 0.0000  4 Nb 2.95, 4 Hf 3.01

(10)
A geometry-optimized Sm6Co2GeI3 structure. Source: Alexandria via LeMat-Bulk, functional GGA-PBE.

## Properties
formation energy from raw total energies	-0.71	eV per atom
M_tot	0.00	μB per formula unit

a = 10.0777 Å, b = 10.0777 Å, c = 9.2743 Å
α = 110.84°, β = 110.84°, γ = 23.61°
Closest atoms and distances in Å follow each position.
Atoms (fractional coordinates):
Sm 0.0271 0.0271 0.2376  1 Co 2.65, 2 Ge 2.92
Sm 0.3171 0.3171 0.4459  3 Co 2.69-2.77
Sm 0.3391 0.3391 0.8578  2 Co 2.76, 1 Ge 2.96
Sm 0.6609 0.6609 0.1422  2 Co 2.76, 1 Ge 2.96
Sm 0.6829 0.6829 0.5541  3 Co 2.69-2.77
Sm 0.9729 0.9729 0.7624  1 Co 2.65, 2 Ge 2.92
Co 0.1711 0.1711 0.3466  6 Sm 2.65-2.77
Co 0.8289 0.8289 0.6534  6 Sm 2.65-2.77
Ge 0.5000 0.5000 0.0000  6 Sm 2.92-2.96
I 0.1611 0.1611 0.8432  6 Sm 3.46-3.53
I 0.5000 0.5000 0.5000  6 Sm 3.38-3.46
I 0.8389 0.8389 0.1568  6 Sm 3.46-3.53

(11)
A geometry-optimized CePm3Ho6Tm2 structure. Source: Alexandria via LeMat-Bulk, functional GGA-PBE.

## Properties
E_form	0.035	eV/atom
M_tot	1.11	μB per formula unit

a = 6.1522 Å, b = 6.1522 Å, c = 11.7512 Å
α = 95.00°, β = 95.00°, γ = 119.98°
Closest atoms and distances in Å follow each position.
Atoms (fractional coordinates):
Ce 0.0000 0.0000 0.0000  6 Ho 3.51, 6 Tm 3.55
Pm 0.1676 0.8324 0.5000  6 Pm 3.54-3.57, 6 Ho 3.58
Pm 0.5000 0.5000 0.5000  6 Pm 3.54-3.56, 6 Ho 3.58-3.59
Pm 0.8324 0.1676 0.5000  6 Pm 3.54-3.57, 6 Ho 3.58
Ho 0.0826 0.4140 0.2464  1 Ce 3.51, 2 Tm 3.51-3.52, 6 Ho 3.53-3.56, 3 Pm 3.58
Ho 0.2490 0.2490 0.7534  1 Ce 3.51, 2 Tm 3.52, 6 Ho 3.53-3.56, 3 Pm 3.58-3.59
Ho 0.4140 0.0826 0.2464  1 Ce 3.51, 2 Tm 3.51-3.52, 6 Ho 3.53-3.56, 3 Pm 3.58
Ho 0.5860 0.9174 0.7536  1 Ce 3.51, 2 Tm 3.51-3.52, 6 Ho 3.53-3.56, 3 Pm 3.58
Ho 0.7510 0.7510 0.2466  1 Ce 3.51, 2 Tm 3.52, 6 Ho 3.53-3.56, 3 Pm 3.58-3.59
Ho 0.9174 0.5860 0.7536  1 Ce 3.51, 2 Tm 3.51-3.52, 6 Ho 3.53-3.56, 3 Pm 3.58
Tm 0.3332 0.6668 0.0000  6 Ho 3.51-3.52, 3 Ce 3.55, 3 Tm 3.55
Tm 0.6668 0.3332 0.0000  6 Ho 3.51-3.52, 3 Ce 3.55, 3 Tm 3.55

(12)
A geometry-optimized BaSrCr2 structure. Source: Alexandria via LeMat-Bulk, functional GGA-PBE.

## Properties
E_form	0.841	eV/atom
E above lowest polymorph	340.5	meV per atom
M_tot	9.66	μB per formula unit

a = 5.8295 Å, b = 5.8295 Å, c = 5.8295 Å
α = 60.00°, β = 60.00°, γ = 60.00°
Closest atoms and distances in Å follow each position.
Atoms (fractional coordinates):
Ba 0.0000 0.0000 0.0000  8 Cr 3.57
Sr 0.5000 0.5000 0.5000  8 Cr 3.57
Cr 0.2500 0.2500 0.2500  4 Ba 3.57, 4 Sr 3.57
Cr 0.7500 0.7500 0.7500  4 Ba 3.57, 4 Sr 3.57

(13)
A geometry-optimized Ca2ScPd9 structure. Source: Alexandria via LeMat-Bulk, functional GGA-PBE.

## Properties
E_form	-0.617	eV/atom
M_tot	0.00	μB per formula unit

a = 4.0946 Å, b = 4.0946 Å, c = 12.2412 Å
α = 90.00°, β = 90.00°, γ = 90.00°
Closest atoms and distances in Å follow each position.
Atoms (fractional coordinates):
Ca 0.0000 0.0000 0.1701  12 Pd 2.90-2.95
Ca 0.0000 0.0000 0.8299  12 Pd 2.90-2.95
Sc 0.0000 0.0000 0.5000  12 Pd 2.80-2.90
Pd 0.0000 0.5000 0.0000  8 Pd 2.90-2.93, 4 Ca 2.92
Pd 0.0000 0.5000 0.3437  2 Sc 2.80, 8 Pd 2.80-2.94, 2 Ca 2.95
Pd 0.0000 0.5000 0.6563  8 Pd 2.80-2.94, 2 Sc 2.80, 2 Ca 2.95
Pd 0.5000 0.0000 0.0000  8 Pd 2.90-2.93, 4 Ca 2.92
Pd 0.5000 0.0000 0.3437  2 Sc 2.80, 8 Pd 2.80-2.94, 2 Ca 2.95
Pd 0.5000 0.0000 0.6563  8 Pd 2.80-2.94, 2 Sc 2.80, 2 Ca 2.95
Pd 0.5000 0.5000 0.1709  4 Ca 2.90, 8 Pd 2.93-2.94
Pd 0.5000 0.5000 0.5000  8 Pd 2.80, 4 Sc 2.90
Pd 0.5000 0.5000 0.8291  4 Ca 2.90, 8 Pd 2.93-2.94